Material: La6Ru2CI3
Method: DFT, GGA-PBE
State: relaxed

It has space group C2/m (No. 12), with a = 7.211 Å, b = 12.438 Å, c = 8.497 Å, α = 90.00°, β = 106.52° and γ = 90.00°. The inequivalent atoms are La at (0.216, 0.158, 0.178), La at (0.241, 0.500, 0.179), Ru at (0.000, 0.333, 0.000), C at (0.000, 0.000, 0.000), I at (0.000, 0.169, 0.500) and I at (0.000, 0.500, 0.500).

For the total energy, the calculation gives -70.973 eV per formula unit. The formation energy (no corrections) is -749 meV per atom.

---

Material: AcLaPmDy3
Method: DFT, GGA-PBE
State: relaxed

It has space group C2/m (No. 12), with a = 20.365 Å, b = 5.745 Å, c = 7.299 Å, α = 90.00°, β = 90.19° and γ = 90.00°. The inequivalent atoms are Ac at (0.147, 0.000, 0.038), La at (0.146, 0.000, 0.477), Pm at (0.053, 0.500, 0.272), Dy at (0.021, 0.000, 0.740), Dy at (0.162, 0.500, 0.746) and Dy at (0.219, 0.500, 0.262).

For the total energy, the calculation gives -26.201 eV per formula unit.